Record 1
This record from Alexandria via LeMat-Bulk describes an optimized crystal structure of Na2Ce2S5. The functional is PBE-GGA.

Cell lengths 7.9965, 7.9965, 7.6813 Å; angles 90.00, 90.00, 57.13 degrees
Fractional positions:
Na (0.2039, 0.2039, 0.0000)
Na (0.2961, 0.2961, 0.5000)
Na (0.7039, 0.7039, 0.5000)
Na (0.7961, 0.7961, 0.0000)
Ce (0.1644, 0.8356, 0.6646)
Ce (0.3356, 0.6644, 0.1646)
Ce (0.6644, 0.3356, 0.8354)
Ce (0.8356, 0.1644, 0.3354)
S (0.0000, 0.0000, 0.0000)
S (0.0217, 0.7300, 0.3557)
S (0.2300, 0.5217, 0.8557)
S (0.2700, 0.9783, 0.3557)
S (0.4783, 0.7700, 0.8557)
S (0.5000, 0.5000, 0.5000)
S (0.5217, 0.2300, 0.1443)
S (0.7300, 0.0217, 0.6443)
S (0.7700, 0.4783, 0.1443)
S (0.9783, 0.2700, 0.6443)

Computed properties:
magnetization	0.0	μB/cell
symmetry	Cmce (64)
formation energy (no corrections)	-14.19	eV per formula unit



Record 2
This record from Alexandria via LeMat-Bulk describes an optimized crystal structure of TbNp6S12. The functional is PBE-GGA.

Cell lengths 7.8708, 7.8708, 7.8708 Å; angles 99.89, 99.89, 99.89 degrees
Fractional positions:
Tb (0.0000, 0.0000, 0.0000)
Np (0.1352, 0.3063, 0.6202)
Np (0.3063, 0.6202, 0.1352)
Np (0.3798, 0.8648, 0.6937)
Np (0.6202, 0.1352, 0.3063)
Np (0.6937, 0.3798, 0.8648)
Np (0.8648, 0.6937, 0.3798)
S (0.0549, 0.9345, 0.6703)
S (0.0655, 0.3297, 0.9451)
S (0.1775, 0.5779, 0.4292)
S (0.3297, 0.9451, 0.0655)
S (0.4221, 0.5708, 0.8225)
S (0.4292, 0.1775, 0.5779)
S (0.5708, 0.8225, 0.4221)
S (0.5779, 0.4292, 0.1775)
S (0.6703, 0.0549, 0.9345)
S (0.8225, 0.4221, 0.5708)
S (0.9345, 0.6703, 0.0549)
S (0.9451, 0.0655, 0.3297)

Computed properties:
magnetization	21.0	μB/cell
symmetry	R-3 (148)
formation energy (no corrections)	-27.24	eV per formula unit



Record 3
This record from Alexandria via LeMat-Bulk describes an optimized crystal structure of AgB3Cl. The functional is PBE-GGA.

Cell lengths 4.3159, 4.3159, 4.3159 Å; angles 90.00, 90.00, 90.00 degrees
Fractional positions:
Ag (0.0000, 0.0000, 0.0000)
B (0.0000, 0.0000, 0.5000)
B (0.0000, 0.5000, 0.0000)
B (0.5000, 0.0000, 0.0000)
Cl (0.5000, 0.5000, 0.5000)

Computed properties:
magnetization	0.0	μB/cell
symmetry	Pm-3m (221)
energy above the lowest structure with this stoichiometry	0	meV/atom
formation energy (no corrections)	9.40	eV per formula unit



Record 4
This record from Alexandria via LeMat-Bulk describes an optimized crystal structure of RhBr3. The functional is PBE-GGA.

Cell lengths 6.7902, 6.7902, 6.7902 Å; angles 98.96, 98.96, 133.51 degrees
Fractional positions:
Rh (0.0000, 0.0000, 0.0000)
Rh (0.7500, 0.2500, 0.5000)
Br (0.2500, 0.7500, 0.5000)
Br (0.3750, 0.2429, 0.3679)
Br (0.5000, 0.5000, 0.0000)
Br (0.7571, 0.1250, 0.1321)
Br (0.8750, 0.0071, 0.6321)
Br (0.9929, 0.6250, 0.8679)

Computed properties:
magnetization	0.0	μB/cell
symmetry	I-42d (122)
formation energy (no corrections)	0.03	eV per formula unit



Record 5
This record from Alexandria via LeMat-Bulk describes an optimized crystal structure of ZrPBr. The functional is PBE-GGA.

Cell lengths 3.7878, 3.7878, 6.6634 Å; angles 90.00, 90.00, 120.00 degrees
Fractional positions:
Zr (0.0000, 0.0000, 0.0000)
P (0.3333, 0.6667, 0.8088)
Br (0.6667, 0.3333, 0.2834)

Computed properties:
magnetization	0.0	μB/cell
symmetry	P3m1 (156)
energy above the lowest structure with this stoichiometry	21	meV/atom
formation energy (no corrections)	-2.89	eV per formula unit



Record 6
This record from Alexandria via LeMat-Bulk describes an optimized crystal structure of Y5Pu3S8. The functional is PBE-GGA.

Cell lengths 7.8778, 7.8778, 7.8778 Å; angles 59.74, 59.74, 59.74 degrees
Fractional positions:
Y (0.0000, 0.0000, 0.0000)
Y (0.0000, 0.5000, 0.5000)
Y (0.5000, 0.0000, 0.5000)
Y (0.5000, 0.5000, 0.0000)
Y (0.5000, 0.5000, 0.5000)
Pu (0.0000, 0.0000, 0.5000)
Pu (0.0000, 0.5000, 0.0000)
Pu (0.5000, 0.0000, 0.0000)
S (0.2500, 0.2500, 0.7481)
S (0.2500, 0.7481, 0.2500)
S (0.2507, 0.2507, 0.2507)
S (0.2519, 0.7500, 0.7500)
S (0.7481, 0.2500, 0.2500)
S (0.7493, 0.7493, 0.7493)
S (0.7500, 0.2519, 0.7500)
S (0.7500, 0.7500, 0.2519)

Computed properties:
magnetization	17.2	μB/cell
symmetry	R-3m (166)
formation energy (no corrections)	-31.04	eV per formula unit